The following is a PBE calculation of an optimized crystal structure of MgTa2Ga, from OQMD via LeMat-Bulk.

abc: 4.6502 4.6502 4.6502
angles: 60.00 60.00 60.00
Last column: magnetic moment on the atom in μB.
Element x y z (fractional)
Ga: 0.5000 0.5000 0.5000  -0.01
Mg: 0.2500 0.2500 0.2500  0.00
Ta: 0.0000 0.0000 0.0000  0.20
Ta: 0.7500 0.7500 0.7500  0.14

The total energy comes out at -6.779 eV per atom. For the magnetic moment, the calculation gives 0.47 μB/f.u.

The following is a PBE calculation of an optimized crystal structure of Tb3Mg3TlGa2, from OQMD via LeMat-Bulk.

abc: 7.3627 7.3627 4.5523
angles: 90.00 90.00 120.00
Element x y z (fractional)
Ga: 0.6667 0.3333 0.5000
Ga: 0.3333 0.6667 0.5000
Mg: 0.2507 0.0000 0.5000
Mg: 0.0000 0.2507 0.5000
Mg: 0.7493 0.7493 0.5000
Tb: 0.5647 0.0000 0.0000
Tb: 0.4353 0.4353 0.0000
Tb: 0.0000 0.5647 0.0000
Tl: 0.0000 0.0000 0.0000

The total energy comes out at -3.440 eV per atom. For the magnetic moment, the calculation gives 0.00 μB/f.u.

Question: Which of these has the highest magnetic moment?
Answer: MgTa2Ga

Copy entry 1 word for word.
The following is a PBE calculation of an optimized crystal structure of MgTa2Ga, from OQMD via LeMat-Bulk.

abc: 4.6502 4.6502 4.6502
angles: 60.00 60.00 60.00
Last column: magnetic moment on the atom in μB.
Element x y z (fractional)
Ga: 0.5000 0.5000 0.5000  -0.01
Mg: 0.2500 0.2500 0.2500  0.00
Ta: 0.0000 0.0000 0.0000  0.20
Ta: 0.7500 0.7500 0.7500  0.14

The total energy comes out at -6.779 eV per atom. For the magnetic moment, the calculation gives 0.47 μB/f.u.

Question: What is the magnetic moment in the second record?
Answer: 0.00 μB/f.u.

Question: Look up the magnetic moment of the first one.
Answer: 0.47 μB/f.u.